No. 1
Density functional theory data (SCAN) for TiFeBi2O6 at its PBEsol-relaxed geometry.

Geometry as CIF:
```
data_TiFeBi2O6
_chemical_formula_sum 'Ti1 Fe1 Bi2 O6'
_cell_length_a 5.592
_cell_length_b 5.591
_cell_length_c 5.574
_cell_angle_alpha 90.01
_cell_angle_beta 120.10
_cell_angle_gamma 119.99
_space_group_name_H-M_alt 'P 1'
_space_group_IT_number 1
loop_
_space_group_symop_operation_xyz
'x,y,z'
loop_
_atom_site_label
_atom_site_type_symbol
_atom_site_fract_x
_atom_site_fract_y
_atom_site_fract_z
O1 O 0.519 0.012 0.606
O2 O 0.099 0.445 0.606
O3 O 0.119 0.510 0.105
O4 O 0.495 0.344 0.105
O5 O 0.952 0.865 0.606
O6 O 0.954 0.968 0.105
Bi1 Bi 0.441 0.399 0.482
Bi2 Bi 0.443 0.900 0.985
Ti1 Ti 0.990 0.174 0.805
Fe1 Fe 0.988 0.673 0.304
```

Output
Symmetry: R3
Total energy (eV/cell): -247.00

---

No. 2
Density functional theory data (SCAN) for FeBiTeOs2 at its PBEsol-relaxed geometry.

Geometry as CIF:
```
data_FeBiTeOs2
_chemical_formula_sum 'Fe1 Bi1 Te1 Os2'
_cell_length_a 4.718
_cell_length_b 4.968
_cell_length_c 4.968
_cell_angle_alpha 90.00
_cell_angle_beta 90.00
_cell_angle_gamma 90.00
_space_group_name_H-M_alt 'P 1'
_space_group_IT_number 1
loop_
_space_group_symop_operation_xyz
'x,y,z'
loop_
_atom_site_label
_atom_site_type_symbol
_atom_site_fract_x
_atom_site_fract_y
_atom_site_fract_z
Bi1 Bi 0.000 0.000 0.000
Os1 Os 0.000 0.500 0.000
Os2 Os 0.000 0.000 0.500
Fe1 Fe 0.500 0.000 0.000
Te1 Te 0.500 0.500 0.500
```

Output
Symmetry: P4/mmm
Total energy (eV/cell): -265.62

---

No. 3
Density functional theory data (SCAN) for TlFe2BiP at its PBEsol-relaxed geometry.

Geometry as CIF:
```
data_TlFe2BiP
_chemical_formula_sum 'Tl1 Fe2 Bi1 P1'
_cell_length_a 4.915
_cell_length_b 4.915
_cell_length_c 5.356
_cell_angle_alpha 90.00
_cell_angle_beta 90.00
_cell_angle_gamma 90.00
_space_group_name_H-M_alt 'P 1'
_space_group_IT_number 1
loop_
_space_group_symop_operation_xyz
'x,y,z'
loop_
_atom_site_label
_atom_site_type_symbol
_atom_site_fract_x
_atom_site_fract_y
_atom_site_fract_z
Fe1 Fe 0.500 0.000 0.000
Fe2 Fe 0.000 0.500 0.000
Bi1 Bi 0.000 0.000 0.000
Tl1 Tl 0.500 0.500 0.500
P1 P 0.000 0.000 0.500
```

Output
Symmetry: P4/mmm
Calculated formation energy (eV/atom): 1.294

---

No. 4
Density functional theory data (SCAN) for FeSiBiPb2 at its PBEsol-relaxed geometry.

Geometry as CIF:
```
data_FeSiBiPb2
_chemical_formula_sum 'Fe1 Si1 Bi1 Pb2'
_cell_length_a 4.981
_cell_length_b 4.981
_cell_length_c 4.995
_cell_angle_alpha 90.00
_cell_angle_beta 90.00
_cell_angle_gamma 90.00
_space_group_name_H-M_alt 'P 1'
_space_group_IT_number 1
loop_
_space_group_symop_operation_xyz
'x,y,z'
loop_
_atom_site_label
_atom_site_type_symbol
_atom_site_fract_x
_atom_site_fract_y
_atom_site_fract_z
Bi1 Bi 0.000 0.000 0.500
Pb1 Pb 0.000 0.500 0.000
Pb2 Pb 0.500 0.000 0.000
Si1 Si 0.500 0.500 0.500
Fe1 Fe 0.000 0.000 0.000
```

Output
Symmetry: P4/mmm
Total energy (eV/cell): -254.49